# Tl3In2AgI6

A geometry-optimized Tl3In2AgI6 structure (PBE, the Alexandria database).

a b c (Å): 8.4030 8.4030 8.4628
angles (deg): 99.80 99.80 119.13
Sites, in units of the cell vectors:
1 Tl 0.0000 0.0000 0.0000
2 Tl 0.3264 0.6736 0.0000
3 Tl 0.6736 0.3264 0.0000
4 In 0.1635 0.8365 0.5000
5 In 0.8365 0.1635 0.5000
6 Ag 0.5000 0.5000 0.5000
7 I 0.1261 0.4284 0.2778
8 I 0.2709 0.2709 0.7499
9 I 0.4284 0.1261 0.2778
10 I 0.5716 0.8739 0.7222
11 I 0.7291 0.7291 0.2501
12 I 0.8739 0.5716 0.7222

Final energy (eV per atom): -2.5568
Crystal system: monoclinic
SG: C2/m, No. 12

---

# TbErTmLu

A geometry-optimized TbErTmLu structure (PBE, the Alexandria database).

a b c (Å): 5.5814 5.5814 5.5814
angles (deg): 60.00 60.00 60.00
Sites, in units of the cell vectors:
1 Tb 0.0000 0.0000 0.0000
2 Er 0.5000 0.5000 0.5000
3 Tm 0.2500 0.2500 0.2500
4 Lu 0.7500 0.7500 0.7500

Final energy (eV per atom): -4.4172
Crystal system: cubic
Formation energy from the elements (kcal/mol of atoms): 2.979
SG: F-43m, No. 216

---

# LaSm6S8

A geometry-optimized LaSm6S8 structure (PBE, the Alexandria database).

a b c (Å): 8.0295 8.0295 8.0295
angles (deg): 60.00 60.00 60.00
Sites, in units of the cell vectors:
1 La 0.0000 0.0000 0.0000
2 Sm 0.0000 0.0000 0.5000
3 Sm 0.0000 0.5000 0.0000
4 Sm 0.0000 0.5000 0.5000
5 Sm 0.5000 0.0000 0.0000
6 Sm 0.5000 0.0000 0.5000
7 Sm 0.5000 0.5000 0.0000
8 S 0.2500 0.2500 0.2500
9 S 0.2550 0.2550 0.7450
10 S 0.2550 0.7450 0.2550
11 S 0.2550 0.7450 0.7450
12 S 0.7450 0.2550 0.2550
13 S 0.7450 0.2550 0.7450
14 S 0.7450 0.7450 0.2550
15 S 0.7500 0.7500 0.7500

Excess energy over the best structure of this formula in the dataset (meV/atom): 0
Final energy (eV per atom): -6.4645
Crystal system: cubic
SG: Fm-3m, No. 225

---

# Tl4ReIr

A geometry-optimized Tl4ReIr structure (PBE, the Alexandria database).

a b c (Å): 6.0078 6.0078 6.0078
angles (deg): 60.00 60.00 60.00
Sites, in units of the cell vectors:
1 Tl 0.1247 0.1247 0.1247
2 Tl 0.1247 0.1247 0.6258
3 Tl 0.1247 0.6258 0.1247
4 Tl 0.6258 0.1247 0.1247
5 Re 0.5000 0.5000 0.5000
6 Ir 0.7500 0.7500 0.7500

Final energy (eV per atom): -3.5110
Crystal system: cubic
Formation energy from the elements (kcal/mol of atoms): 37.313
SG: F-43m, No. 216

---

# DyY4Al2

A geometry-optimized DyY4Al2 structure (PBE, the Alexandria database).

a b c (Å): 8.4015 8.4015 8.4015
angles (deg): 36.70 36.70 36.70
Sites, in units of the cell vectors:
1 Dy 0.0000 0.0000 0.0000
2 Y 0.1525 0.1525 0.1525
3 Y 0.4161 0.4161 0.4161
4 Y 0.5839 0.5839 0.5839
5 Y 0.8475 0.8475 0.8475
6 Al 0.2812 0.2812 0.2812
7 Al 0.7188 0.7188 0.7188

Excess energy over the best structure of this formula in the dataset (meV/atom): 0
Final energy (eV per atom): -5.6317
Crystal system: trigonal
Formation energy from the elements (kcal/mol of atoms): -4.869
SG: R-3m, No. 166

---

# La3YO

A geometry-optimized La3YO structure (PBE, the Alexandria database).

a b c (Å): 5.1862 5.1862 5.1862
angles (deg): 90.00 90.00 90.00
Sites, in units of the cell vectors:
1 La 0.0000 0.0000 0.5000
2 La 0.0000 0.5000 0.0000
3 La 0.5000 0.0000 0.0000
4 Y 0.5000 0.5000 0.5000
5 O 0.0000 0.0000 0.0000

Excess energy over the best structure of this formula in the dataset (meV/atom): 0
Final energy (eV per atom): -6.3877
Crystal system: cubic
SG: Pm-3m, No. 221

---

Number 1: size of the total moment 0.0 μB per formula unit, calculated density 5.8 g/cm3. Number 2: size of the total moment 0.0 μB per formula unit, calculated density 9.1 g/cm3. Number 3: size of the total moment 0.0 μB per formula unit, calculated density 5.9 g/cm3. Number 4: size of the total moment 4.7 μB per formula unit, calculated density 13.0 g/cm3. Number 5: size of the total moment 0.0 μB per formula unit, calculated density 5.0 g/cm3. Number 6: size of the total moment 0.0 μB per formula unit, calculated density 6.2 g/cm3.